# 1
TaCdOs2: optimized geometry, GGA-PBE.

Energy relative to the elements ... 0.1184 eV/atom
Density of states at the Fermi level ... 4.04 states/eV/cell

a = 3.195 Å, b = 3.195 Å, c = 6.551 Å
α = 90.00°, β = 90.00°, γ = 90.00°
Space group P4/mmm (No. 123)
Asymmetric unit:
Ta 0.000 0.000 0.000 x1
Cd 0.000 0.000 0.500 x1
Os 0.500 0.500 0.228 x2

# 2
TaCdOs2: optimized geometry, GGA-PBE.

Energy relative to the elements ... 0.3549 eV/atom
Density of states at the Fermi level ... 9.22 states/eV/cell

a = 3.906 Å, b = 3.906 Å, c = 8.547 Å
α = 90.00°, β = 90.00°, γ = 90.00°
Space group I-4m2 (No. 119)
Asymmetric unit:
Ta 0.000 0.000 0.000 x2
Cd 0.000 0.500 0.750 x2
Os 0.000 0.000 0.500 x2
Os 0.000 0.500 0.250 x2

# 3
TaCd3Os: optimized geometry, GGA-PBE.

Energy relative to the elements ... 1.7602 eV/atom
Density of states at the Fermi level ... 9.31 states/eV/cell
Excess energy over the best structure of this formula in the dataset ... 0.0 meV per atom

a = 5.040 Å, b = 5.040 Å, c = 5.040 Å
α = 90.00°, β = 90.00°, γ = 90.00°
Space group Pm-3m (No. 221)
Asymmetric unit:
Ta 0.000 0.000 0.000 x1
Cd 0.000 0.500 0.500 x3
Os 0.500 0.500 0.500 x1

- The highest density of states at the Fermi level belongs to which entry?
  TaCd3Os

- What is the energy relative to the elements in the third record?
  1.7602 eV/atom

- The highest density of states at the Fermi level belongs to which entry?
  TaCd3Os